Entry 1:
A plane-wave DFT calculation with PBE-GGA was carried out for a relaxed PmCuNi2 crystal.

## Properties
magnetization = 0.0 μB per cell
energy relative to the elements = -0.253 eV per atom
E above lowest polymorph = 49.4 meV/atom
Fermi-level density of states = 6.993 states/eV/cell

CIF file:
```
data_PmCuNi2
_chemical_formula_sum 'Pm3 Cu3 Ni6'
_space_group_name_H-M_alt 'R -3 m'
_space_group_IT_number 166
_space_group_name_Hall '-R 3 2"'
_cell_length_a 4.1214
_cell_length_b 4.1214
_cell_length_c 13.8465
_cell_angle_alpha 90.00
_cell_angle_beta 90.00
_cell_angle_gamma 120.00
loop_
_atom_site_label
_atom_site_type_symbol
_atom_site_fract_x
_atom_site_fract_y
_atom_site_fract_z
Pm1 Pm 0.0000 0.0000 0.0000
Cu1 Cu 0.0000 0.0000 0.5000
Ni1 Ni 0.0000 0.0000 0.1976
```

=====

Entry 2:
A plane-wave DFT calculation with PBE-GGA was carried out for a relaxed Pm4CuNi2 crystal.

## Properties
magnetization = 0.0 μB per cell
energy relative to the elements = -0.196 eV per atom
Fermi-level density of states = 12.682 states/eV/cell

CIF file:
```
data_Pm4CuNi2
_chemical_formula_sum 'Pm8 Cu2 Ni4'
_space_group_name_H-M_alt 'P 1'
_space_group_IT_number 1
_space_group_name_Hall 'P 1'
_cell_length_a 6.9683
_cell_length_b 7.1635
_cell_length_c 8.2381
_cell_angle_alpha 108.13
_cell_angle_beta 107.25
_cell_angle_gamma 106.94
loop_
_atom_site_label
_atom_site_type_symbol
_atom_site_fract_x
_atom_site_fract_y
_atom_site_fract_z
Pm1 Pm 0.0000 0.0000 0.0000
Pm2 Pm 0.0406 0.5427 0.0854
Pm3 Pm 0.0981 0.7284 0.6081
Pm4 Pm 0.3498 0.1433 0.4854
Pm5 Pm 0.4863 0.6044 0.9147
Pm6 Pm 0.5321 0.6621 0.4757
Pm7 Pm 0.6150 0.2310 0.1707
Pm8 Pm 0.9073 0.2008 0.6010
Cu1 Cu 0.5930 0.0713 0.7984
Cu2 Cu 0.8380 0.8192 0.2866
Ni1 Ni 0.0949 0.3483 0.3559
Ni2 Ni 0.2774 0.1766 0.8401
Ni3 Ni 0.4782 0.8793 0.2452
Ni4 Ni 0.7821 0.5359 0.7293
```

=====

What did the first record say?
A plane-wave DFT calculation with PBE-GGA was carried out for a relaxed PmCuNi2 crystal.

## Properties
magnetization = 0.0 μB per cell
energy relative to the elements = -0.253 eV per atom
E above lowest polymorph = 49.4 meV/atom
Fermi-level density of states = 6.993 states/eV/cell

CIF file:
```
data_PmCuNi2
_chemical_formula_sum 'Pm3 Cu3 Ni6'
_space_group_name_H-M_alt 'R -3 m'
_space_group_IT_number 166
_space_group_name_Hall '-R 3 2"'
_cell_length_a 4.1214
_cell_length_b 4.1214
_cell_length_c 13.8465
_cell_angle_alpha 90.00
_cell_angle_beta 90.00
_cell_angle_gamma 120.00
loop_
_atom_site_label
_atom_site_type_symbol
_atom_site_fract_x
_atom_site_fract_y
_atom_site_fract_z
Pm1 Pm 0.0000 0.0000 0.0000
Cu1 Cu 0.0000 0.0000 0.5000
Ni1 Ni 0.0000 0.0000 0.1976
```

=====

Question: Which formula does entry 1 have?
Answer: PmCuNi2